Computed, not measured: a relaxed structure of TiFeS3 at the GGA-PBEsol level of DFT.

The value obtained for the total energy is -6.1017 eV per atom. The value obtained for the uncorrected formation energy is -14 meV per atom.

Geometry as CIF:
```
data_TiFeS3
_chemical_formula_sum 'Ti1 Fe1 S3'
_cell_length_a 4.340
_cell_length_b 4.340
_cell_length_c 4.340
_cell_angle_alpha 90.00
_cell_angle_beta 90.00
_cell_angle_gamma 90.00
_symmetry_space_group_name_H-M 'P m -3 m'
_symmetry_Int_Tables_number 221
_symmetry_space_group_name_Hall '-P 4 2 3'
loop_
_atom_site_label
_atom_site_type_symbol
_atom_site_fract_x
_atom_site_fract_y
_atom_site_fract_z
Ti1 Ti 0.000 0.000 0.000
Fe1 Fe 0.500 0.500 0.500
S1 S 0.000 0.500 0.500
```